1.
Crystalline NdTm5In2 at its relaxed geometry, computed with PBE. Values from VASP.

Energy relative to the elements = -130 meV/atom
Total energy = -67.28 eV per cell
DOS(E_F) = 9.4 states/eV/f.u.

```
&SYSTEM
  ibrav = 0, nat = 16, ntyp = 3
/
ATOMIC_SPECIES
Nd 144.24 Nd.upf
Tm 168.93 Tm.upf
In 114.82 In.upf
ATOMIC_POSITIONS crystal
Nd 0.237 0.763 0.750
Nd 0.763 0.237 0.250
Tm 0.042 0.958 0.250
Tm 0.139 0.861 0.535
Tm 0.139 0.861 0.965
Tm 0.456 0.544 0.602
Tm 0.456 0.544 0.898
Tm 0.544 0.456 0.102
Tm 0.544 0.456 0.398
Tm 0.861 0.139 0.035
Tm 0.861 0.139 0.465
Tm 0.958 0.042 0.750
In 0.271 0.729 0.134
In 0.271 0.729 0.366
In 0.729 0.271 0.634
In 0.729 0.271 0.866
CELL_PARAMETERS angstrom
2.577 -5.809 0.000
2.577 5.809 0.000
0.000 0.000 15.924
```


2.
Crystalline Eu2TlAs at its relaxed geometry, computed with PBE. Values from VASP.

Energy relative to the elements = -732 meV/atom
Total energy = -30.49 eV per cell
DOS(E_F) = 19.5 states/eV/f.u.
Energy above the lowest structure with this stoichiometry = 34 meV/atom

```
&SYSTEM
  ibrav = 0, nat = 4, ntyp = 3
/
ATOMIC_SPECIES
Eu 151.96 Eu.upf
Tl 204.38 Tl.upf
As 74.92 As.upf
ATOMIC_POSITIONS crystal
Eu 0.234 0.234 0.234
Eu 0.766 0.766 0.766
Tl 0.000 0.000 0.000
As 0.500 0.500 0.500
CELL_PARAMETERS angstrom
2.163 1.249 8.109
-2.163 1.249 8.109
0.000 -2.498 8.109
```